*i*
A plane-wave DFT calculation with PBE-GGA was carried out for a geometry-optimized Hg3SeN structure.

The value obtained for the spin magnetization is 0.000 μB/atom.

The structure belongs to space group Pm-3m (No. 221); the cell edges are 5.4486, 5.4486 and 5.4486 Å and the angles 90.00°, 90.00° and 90.00°. The asymmetric unit holds Hg at (0.0000, 0.0000, 0.5000), Se at (0.0000, 0.0000, 0.0000) and N at (0.5000, 0.5000, 0.5000).

---

*ii*
A plane-wave DFT calculation with PBE-GGA was carried out for a geometry-optimized Hg3SeN structure.

The value obtained for the spin magnetization is 0.000 μB/atom.

The structure belongs to space group P-1 (No. 2); the cell edges are 5.1366, 7.4057 and 7.8740 Å and the angles 87.89°, 79.23° and 86.49°. The asymmetric unit holds Hg at (0.1676, 0.3506, 0.2291), Hg at (0.1750, 0.7943, 0.0562), Hg at (0.3133, 0.9440, 0.6262), Se at (0.3711, 0.6322, 0.2932) and N at (0.0004, 0.1175, 0.1616).

---

*iii*
A plane-wave DFT calculation with PBE-GGA was carried out for a geometry-optimized Hg3SeN structure.

The value obtained for the spin magnetization is 0.000 μB/atom.

The structure belongs to space group Pm-3m (No. 221); the cell edges are 4.7510, 4.7510 and 4.7510 Å and the angles 90.00°, 90.00° and 90.00°. The asymmetric unit holds Hg at (0.0000, 0.0000, 0.5000), Se at (0.5000, 0.5000, 0.5000) and N at (0.0000, 0.0000, 0.0000).

---

Short version: *i* is the least stable of them.

---

*i*
A plane-wave DFT calculation with PBE-GGA was carried out for a geometry-optimized HgSeN structure.

The value obtained for the spin magnetization is 0.000 μB/atom.

The structure belongs to space group P-1 (No. 2); the cell edges are 3.8567, 5.1735 and 6.3244 Å and the angles 105.44°, 90.12° and 90.44°. The asymmetric unit holds Hg at (0.2482, 0.2968, 0.2784), Se at (0.2507, 0.1494, 0.8107) and N at (0.2514, 0.4097, 0.6714).

---

*ii*
A plane-wave DFT calculation with PBE-GGA was carried out for a geometry-optimized HgSeN structure.

The value obtained for the spin magnetization is 0.000 μB/atom.

The structure belongs to space group P1 (No. 1); the cell edges are 4.1888, 5.9015 and 6.8266 Å and the angles 80.77°, 88.77° and 75.29°. The asymmetric unit holds Hg at (0.0000, 0.0000, 0.0000), Hg at (0.3176, 0.5494, 0.1195), Se at (0.4617, 0.1302, 0.3539), Se at (0.6579, 0.4358, 0.6502), N at (0.6022, 0.1617, 0.5987) and N at (0.7927, 0.3812, 0.8973).

---

Short version: *i* is the least stable of them.

---

*i*
A plane-wave DFT calculation with PBE-GGA was carried out for a geometry-optimized SiHgSeN2 structure.

The value obtained for the spin magnetization is 0.646 μB/atom.

The structure belongs to space group P4/mmm (No. 123); the cell edges are 4.1919, 4.1919 and 6.0567 Å and the angles 90.00°, 90.00° and 90.00°. The asymmetric unit holds Si at (0.0000, 0.0000, 0.0000), Hg at (0.5000, 0.5000, 0.5000), Se at (0.5000, 0.5000, 0.0000) and N at (0.0000, 0.5000, 0.5000).

---

*ii*
A plane-wave DFT calculation with PBE-GGA was carried out for a geometry-optimized SiHgSeN2 structure.

The value obtained for the spin magnetization is 0.000 μB/atom.

The structure belongs to space group P4/mmm (No. 123); the cell edges are 3.6017, 3.6017 and 6.3889 Å and the angles 90.00°, 90.00° and 90.00°. The asymmetric unit holds Si at (0.0000, 0.0000, 0.0000), Hg at (0.5000, 0.5000, 0.5000), Se at (0.0000, 0.0000, 0.5000) and N at (0.0000, 0.5000, 0.0000).

---

Short version: *i* is the least stable of them.

---

*i*
A plane-wave DFT calculation with PBE-GGA was carried out for a geometry-optimized SnHgSeN2 structure.

The value obtained for the spin magnetization is 0.018 μB/atom.

The structure belongs to space group P4/mmm (No. 123); the cell edges are 4.0459, 4.0459 and 6.2021 Å and the angles 90.00°, 90.00° and 90.00°. The asymmetric unit holds Sn at (0.0000, 0.0000, 0.0000), Hg at (0.5000, 0.5000, 0.5000), Se at (0.0000, 0.0000, 0.5000) and N at (0.0000, 0.5000, 0.0000).

---

*ii*
A plane-wave DFT calculation with PBE-GGA was carried out for a geometry-optimized SnHgSeN2 structure.

The value obtained for the spin magnetization is 0.660 μB/atom.

The structure belongs to space group P4/mmm (No. 123); the cell edges are 4.3233, 4.3233 and 5.9251 Å and the angles 90.00°, 90.00° and 90.00°. The asymmetric unit holds Sn at (0.0000, 0.0000, 0.0000), Hg at (0.5000, 0.5000, 0.5000), Se at (0.5000, 0.5000, 0.0000) and N at (0.0000, 0.5000, 0.5000).

---

Short version: *ii* is the least stable of them.

---

*i*
A plane-wave DFT calculation with PBE-GGA was carried out for a geometry-optimized SrHgSeN2 structure.

The value obtained for the spin magnetization is 0.931 μB/atom.

The structure belongs to space group P4/mmm (No. 123); the cell edges are 4.8652, 4.8652 and 6.2718 Å and the angles 90.00°, 90.00° and 90.00°. The asymmetric unit holds Sr at (0.0000, 0.0000, 0.0000), Hg at (0.5000, 0.5000, 0.5000), Se at (0.0000, 0.0000, 0.5000) and N at (0.0000, 0.5000, 0.0000).

---

*ii*
A plane-wave DFT calculation with PBE-GGA was carried out for a geometry-optimized SrHgSeN2 structure.

The value obtained for the spin magnetization is 0.582 μB/atom.

The structure belongs to space group P4/mmm (No. 123); the cell edges are 4.4598, 4.4598 and 5.4906 Å and the angles 90.00°, 90.00° and 90.00°. The asymmetric unit holds Sr at (0.0000, 0.0000, 0.0000), Hg at (0.5000, 0.5000, 0.5000), Se at (0.5000, 0.5000, 0.0000) and N at (0.0000, 0.5000, 0.5000).

---

Short version: *i* is the least stable of them.

---

*i*
A plane-wave DFT calculation with PBE-GGA was carried out for a geometry-optimized SrHgSe2N structure.

The value obtained for the spin magnetization is 0.394 μB/atom.

The structure belongs to space group P4/mmm (No. 123); the cell edges are 5.4605, 5.4605 and 4.2665 Å and the angles 90.00°, 90.00° and 90.00°. The asymmetric unit holds Sr at (0.0000, 0.0000, 0.0000), Hg at (0.5000, 0.5000, 0.5000), Se at (0.0000, 0.5000, 0.5000) and N at (0.5000, 0.5000, 0.0000).

---

*ii*
A plane-wave DFT calculation with PBE-GGA was carried out for a geometry-optimized SrHgSe2N structure.

The value obtained for the spin magnetization is 0.761 μB/atom.

The structure belongs to space group P4/mmm (No. 123); the cell edges are 5.9355, 5.9355 and 4.6004 Å and the angles 90.00°, 90.00° and 90.00°. The asymmetric unit holds Sr at (0.0000, 0.0000, 0.0000), Hg at (0.5000, 0.5000, 0.5000), Se at (0.0000, 0.5000, 0.0000) and N at (0.0000, 0.0000, 0.5000).

---

Short version: *ii* is the least stable of them.

---

*i*
A plane-wave DFT calculation with PBE-GGA was carried out for a geometry-optimized HgTeSeN2 structure.

The value obtained for the spin magnetization is 0.209 μB/atom.

The structure belongs to space group P4/mmm (No. 123); the cell edges are 3.9337, 3.9337 and 7.2658 Å and the angles 90.00°, 90.00° and 90.00°. The asymmetric unit holds Hg at (0.0000, 0.0000, 0.0000), Te at (0.5000, 0.5000, 0.0000), Se at (0.5000, 0.5000, 0.5000) and N at (0.0000, 0.5000, 0.5000).

---

*ii*
A plane-wave DFT calculation with PBE-GGA was carried out for a geometry-optimized HgTeSeN2 structure.

The value obtained for the spin magnetization is 0.761 μB/atom.

The structure belongs to space group P4/mmm (No. 123); the cell edges are 4.2292, 4.2292 and 6.7061 Å and the angles 90.00°, 90.00° and 90.00°. The asymmetric unit holds Hg at (0.0000, 0.0000, 0.0000), Te at (0.5000, 0.5000, 0.5000), Se at (0.0000, 0.0000, 0.5000) and N at (0.0000, 0.5000, 0.0000).

---

*iii*
A plane-wave DFT calculation with PBE-GGA was carried out for a geometry-optimized HgTeSeN2 structure.

The value obtained for the spin magnetization is 0.000 μB/atom.

The structure belongs to space group P4/mmm (No. 123); the cell edges are 3.9936, 3.9936 and 6.1318 Å and the angles 90.00°, 90.00° and 90.00°. The asymmetric unit holds Hg at (0.0000, 0.0000, 0.0000), Te at (0.5000, 0.5000, 0.5000), Se at (0.5000, 0.5000, 0.0000) and N at (0.0000, 0.5000, 0.5000).

---

Short version: *ii* is the least stable of them.

---

*i*
A plane-wave DFT calculation with PBE-GGA was carried out for a geometry-optimized HgTe2SeN structure.

The value obtained for the spin magnetization is 0.313 μB/atom.

The structure belongs to space group P4/mmm (No. 123); the cell edges are 5.7722, 5.7722 and 4.0535 Å and the angles 90.00°, 90.00° and 90.00°. The asymmetric unit holds Hg at (0.0000, 0.0000, 0.0000), Te at (0.0000, 0.5000, 0.0000), Se at (0.5000, 0.5000, 0.5000) and N at (0.0000, 0.0000, 0.5000).

---

*ii*
A plane-wave DFT calculation with PBE-GGA was carried out for a geometry-optimized HgTe2SeN structure.

The value obtained for the spin magnetization is 0.001 μB/atom.

The structure belongs to space group P4/mmm (No. 123); the cell edges are 5.8792, 5.8792 and 3.6667 Å and the angles 90.00°, 90.00° and 90.00°. The asymmetric unit holds Hg at (0.0000, 0.0000, 0.0000), Te at (0.0000, 0.5000, 0.5000), Se at (0.5000, 0.5000, 0.5000) and N at (0.5000, 0.5000, 0.0000).

---

Short version: *i* is the least stable of them.

---

*i*
A plane-wave DFT calculation with PBE-GGA was carried out for a geometry-optimized TiHgSeN2 structure.

The value obtained for the spin magnetization is 0.000 μB/atom.

The structure belongs to space group P4/mmm (No. 123); the cell edges are 4.0917, 4.0917 and 5.3986 Å and the angles 90.00°, 90.00° and 90.00°. The asymmetric unit holds Ti at (0.0000, 0.0000, 0.0000), Hg at (0.5000, 0.5000, 0.5000), Se at (0.5000, 0.5000, 0.0000) and N at (0.0000, 0.5000, 0.5000).

---

*ii*
A plane-wave DFT calculation with PBE-GGA was carried out for a geometry-optimized TiHgSeN2 structure.

The value obtained for the spin magnetization is 0.000 μB/atom.

The structure belongs to space group P4/mmm (No. 123); the cell edges are 3.9017, 3.9017 and 5.7043 Å and the angles 90.00°, 90.00° and 90.00°. The asymmetric unit holds Ti at (0.0000, 0.0000, 0.0000), Hg at (0.5000, 0.5000, 0.5000), Se at (0.0000, 0.0000, 0.5000) and N at (0.0000, 0.5000, 0.0000).

---

Short version: *i* is the least stable of them.

---

*i*
A plane-wave DFT calculation with PBE-GGA was carried out for a geometry-optimized TlHgSe2N structure.

The value obtained for the spin magnetization is 0.447 μB/atom.

The structure belongs to space group P4/mmm (No. 123); the cell edges are 5.5323, 5.5323 and 4.4046 Å and the angles 90.00°, 90.00° and 90.00°. The asymmetric unit holds Tl at (0.0000, 0.0000, 0.0000), Hg at (0.5000, 0.5000, 0.5000), Se at (0.0000, 0.5000, 0.0000) and N at (0.0000, 0.0000, 0.5000).

---

*ii*
A plane-wave DFT calculation with PBE-GGA was carried out for a geometry-optimized TlHgSe2N structure.

The value obtained for the spin magnetization is 0.550 μB/atom.

The structure belongs to space group P4/mmm (No. 123); the cell edges are 5.5710, 5.5710 and 4.1854 Å and the angles 90.00°, 90.00° and 90.00°. The asymmetric unit holds Tl at (0.0000, 0.0000, 0.0000), Hg at (0.5000, 0.5000, 0.5000), Se at (0.0000, 0.5000, 0.5000) and N at (0.5000, 0.5000, 0.0000).

---

Short version: *i* is the least stable of them.

---

*i*
A plane-wave DFT calculation with PBE-GGA was carried out for a geometry-optimized YHgSe2N structure.

The value obtained for the spin magnetization is 0.212 μB/atom.

The structure belongs to space group P4/mmm (No. 123); the cell edges are 5.3071, 5.3071 and 4.1475 Å and the angles 90.00°, 90.00° and 90.00°. The asymmetric unit holds Y at (0.0000, 0.0000, 0.0000), Hg at (0.5000, 0.5000, 0.5000), Se at (0.0000, 0.5000, 0.5000) and N at (0.5000, 0.5000, 0.0000).

---

*ii*
A plane-wave DFT calculation with PBE-GGA was carried out for a geometry-optimized YHgSe2N structure.

The value obtained for the spin magnetization is 0.417 μB/atom.

The structure belongs to space group P4/mmm (No. 123); the cell edges are 5.5680, 5.5680 and 4.5165 Å and the angles 90.00°, 90.00° and 90.00°. The asymmetric unit holds Y at (0.0000, 0.0000, 0.0000), Hg at (0.5000, 0.5000, 0.5000), Se at (0.0000, 0.5000, 0.0000) and N at (0.0000, 0.0000, 0.5000).

---

Short version: *i* is the least stable of them.

---

*i*
A plane-wave DFT calculation with PBE-GGA was carried out for a geometry-optimized YHgSeN2 structure.

The value obtained for the spin magnetization is 0.304 μB/atom.

The structure belongs to space group P4/mmm (No. 123); the cell edges are 4.2778, 4.2778 and 5.2355 Å and the angles 90.00°, 90.00° and 90.00°. The asymmetric unit holds Y at (0.0000, 0.0000, 0.0000), Hg at (0.5000, 0.5000, 0.5000), Se at (0.5000, 0.5000, 0.0000) and N at (0.0000, 0.5000, 0.5000).

---

*ii*
A plane-wave DFT calculation with PBE-GGA was carried out for a geometry-optimized YHgSeN2 structure.

The value obtained for the spin magnetization is 0.735 μB/atom.

The structure belongs to space group P4/mmm (No. 123); the cell edges are 4.5464, 4.5464 and 5.8403 Å and the angles 90.00°, 90.00° and 90.00°. The asymmetric unit holds Y at (0.0000, 0.0000, 0.0000), Hg at (0.5000, 0.5000, 0.5000), Se at (0.0000, 0.0000, 0.5000) and N at (0.0000, 0.5000, 0.0000).

---

Short version: *i* is the least stable of them.

---

*i*
A plane-wave DFT calculation with PBE-GGA was carried out for a geometry-optimized Si3HgN structure.

The value obtained for the spin magnetization is 0.000 μB/atom.

The structure belongs to space group Pm-3m (No. 221); the cell edges are 4.2108, 4.2108 and 4.2108 Å and the angles 90.00°, 90.00° and 90.00°. The asymmetric unit holds Si at (0.0000, 0.0000, 0.5000), Hg at (0.5000, 0.5000, 0.5000) and N at (0.0000, 0.0000, 0.0000).

---

*ii*
A plane-wave DFT calculation with PBE-GGA was carried out for a geometry-optimized Si3HgN structure.

The value obtained for the spin magnetization is 0.000 μB/atom.

The structure belongs to space group Pm-3m (No. 221); the cell edges are 4.9742, 4.9742 and 4.9742 Å and the angles 90.00°, 90.00° and 90.00°. The asymmetric unit holds Si at (0.0000, 0.0000, 0.5000), Hg at (0.0000, 0.0000, 0.0000) and N at (0.5000, 0.5000, 0.5000).

---

Short version: *ii* is the least stable of them.